1.
! Re2Si8MoW PBE-GGA optimized geometry; values from VASP
! symmetry: P4mm, No. 99
! formation energy (no corrections): -381 kJ/mol of formula units
! theoretical density: 9.01 g cm⁻³
! DFT total energy: -8.001 eV per atom
&SYSTEM
  ibrav = 0, nat = 12, ntyp = 4
/
ATOMIC_SPECIES
Re 186.21 Re.upf
Si 28.09 Si.upf
Mo 95.94 Mo.upf
W 183.84 W.upf
CELL_PARAMETERS angstrom
3.2062 0.0000 0.0000
0.0000 3.2062 0.0000
0.0000 0.0000 15.7142
ATOMIC_POSITIONS crystal
Re 0.0000 0.0000 0.5018
Re 0.5000 0.5000 0.7481
Si 0.5000 0.5000 0.0829
Si 0.0000 0.0000 0.3337
Si 0.5000 0.5000 0.5839
Si 0.0000 0.0000 0.8337
Si 0.0000 0.0000 0.1663
Si 0.5000 0.5000 0.4166
Si 0.0000 0.0000 0.6664
Si 0.5000 0.5000 0.9166
Mo 0.0000 0.0000 0.9982
W 0.5000 0.5000 0.2518

=====

2.
! MgPBr2 PBE-GGA optimized geometry; values from VASP
! symmetry: Pmmm, No. 47
! formation energy (no corrections): -22 kJ/mol of formula units
! ΔE to the lowest computed polymorph: 479 meV per atom
! theoretical density: 3.91 g cm⁻³
! DFT total energy: -2.646 eV per atom
&SYSTEM
  ibrav = 0, nat = 4, ntyp = 3
/
ATOMIC_SPECIES
Br 79.90 Br.upf
Mg 24.30 Mg.upf
P 30.97 P.upf
CELL_PARAMETERS angstrom
3.4973 0.0000 0.0000
0.0000 6.1098 0.0000
0.0000 0.0000 4.2719
ATOMIC_POSITIONS crystal
Br 0.0000 0.0000 0.0000
Br 0.5000 0.5000 0.0000
Mg 0.5000 0.0000 0.5000
P 0.0000 0.5000 0.5000

=====

3.
! Zn13In2 PBE-GGA optimized geometry; values from VASP
! symmetry: R-3m, No. 166
! energy relative to the elements: 210 kJ/mol of formula units
! theoretical density: 6.01 g cm⁻³
! DFT total energy: -1.324 eV per atom
&SYSTEM
  ibrav = 0, nat = 15, ntyp = 2
/
ATOMIC_SPECIES
Zn 65.41 Zn.upf
In 114.82 In.upf
CELL_PARAMETERS angstrom
-5.1624 3.5011 -3.7324
-5.9794 2.3525 3.3987
-0.7673 7.6312 1.1413
ATOMIC_POSITIONS crystal
Zn 0.5000 0.5000 0.5000
Zn 0.4858 0.8519 0.1765
Zn 0.4858 0.4858 0.1765
Zn 0.8519 0.4858 0.1765
Zn 0.1481 0.5142 0.8235
Zn 0.5142 0.1481 0.8235
Zn 0.5142 0.5142 0.8235
Zn 0.2520 0.8887 0.6072
Zn 0.2520 0.2520 0.6072
Zn 0.8887 0.2520 0.6072
Zn 0.1113 0.7480 0.3928
Zn 0.7480 0.1113 0.3928
Zn 0.7480 0.7480 0.3928
In 0.2628 0.2628 0.2115
In 0.7372 0.7372 0.7885

=====

4.
! Pr7C3Br10 PBE-GGA optimized geometry; values from VASP
! symmetry: P-1, No. 2
! formation energy (no corrections): -2822 kJ/mol of formula units
! theoretical density: 4.90 g cm⁻³
! DFT total energy: -5.355 eV per atom
&SYSTEM
  ibrav = 0, nat = 40, ntyp = 3
/
ATOMIC_SPECIES
Pr 140.91 Pr.upf
C 12.01 C.upf
Br 79.90 Br.upf
CELL_PARAMETERS angstrom
-2.9034 5.6782 6.7133
-7.3103 -8.2808 -2.3620
7.6317 -9.6134 5.7379
ATOMIC_POSITIONS crystal
Pr 0.5955 0.2216 0.5801
Pr 0.4045 0.7784 0.4199
Pr 0.9403 0.3832 0.8214
Pr 0.0597 0.6168 0.1786
Pr 0.6879 0.4510 0.9217
Pr 0.3121 0.5490 0.0783
Pr 0.0721 0.7526 0.8991
Pr 0.9279 0.2474 0.1009
Pr 0.3049 0.4194 0.3619
Pr 0.6951 0.5806 0.6381
Pr 0.6775 0.7083 0.3098
Pr 0.3225 0.2917 0.6902
Pr 0.4681 0.9328 0.1695
Pr 0.5319 0.0672 0.8305
C 0.6060 0.2708 0.7682
C 0.3940 0.7292 0.2318
C 0.9818 0.4405 0.0229
C 0.0182 0.5595 0.9771
C 0.6430 0.3901 0.7228
C 0.3570 0.6099 0.2772
Br 0.6683 0.4554 0.4348
Br 0.3317 0.5446 0.5652
Br 0.0566 0.6339 0.7025
Br 0.9434 0.3661 0.2975
Br 0.9452 0.2572 0.6279
Br 0.0548 0.7428 0.3721
Br 0.7189 0.7165 0.8299
Br 0.2811 0.2835 0.1701
Br 0.3203 0.4223 0.8780
Br 0.6797 0.5777 0.1220
Br 0.5598 0.1892 0.0357
Br 0.4402 0.8108 0.9643
Br 0.5141 0.0582 0.3662
Br 0.4859 0.9418 0.6338
Br 0.8895 0.1078 0.9081
Br 0.1105 0.8922 0.0919
Br 0.1807 0.0273 0.7745
Br 0.8193 0.9727 0.2255
Br 0.2345 0.1618 0.4848
Br 0.7655 0.8382 0.5152

=====

5.
! AlCdFe2 PBE-GGA optimized geometry; values from VASP
! symmetry: Immm, No. 71
! energy relative to the elements: 55 kJ/mol of formula units
! ΔE to the lowest computed polymorph: 94 meV per atom
! theoretical density: 7.19 g cm⁻³
! DFT total energy: -5.252 eV per atom
&SYSTEM
  ibrav = 0, nat = 4, ntyp = 3
/
ATOMIC_SPECIES
Al 26.98 Al.upf
Fe 55.84 Fe.upf
Cd 112.41 Cd.upf
CELL_PARAMETERS angstrom
-1.6439 -3.8439 2.3826
0.4617 -4.0299 -2.5888
2.9647 3.5483 1.3321
ATOMIC_POSITIONS crystal
Al 0.7500 0.2500 0.5000
Fe 0.9958 0.9958 0.0000
Fe 0.5042 0.5042 0.0000
Cd 0.2500 0.7500 0.5000

=====

6.
! La3Sm4Ho PBE-GGA optimized geometry; values from VASP
! symmetry: Immm, No. 71
! energy relative to the elements: 89 kJ/mol of formula units
! ΔE to the lowest computed polymorph: 114 meV per atom
! theoretical density: 6.99 g cm⁻³
! DFT total energy: -4.664 eV per atom
&SYSTEM
  ibrav = 0, nat = 8, ntyp = 3
/
ATOMIC_SPECIES
Ho 164.93 Ho.upf
Sm 150.36 Sm.upf
La 138.91 La.upf
CELL_PARAMETERS angstrom
3.4327 0.0000 0.8893
1.2112 8.6947 2.3946
-0.5051 -1.0933 9.0193
ATOMIC_POSITIONS crystal
Ho 0.5000 0.0000 0.0000
Sm 0.6335 0.1124 0.6205
Sm 0.3665 0.8876 0.3795
Sm 0.3665 0.3795 0.8876
Sm 0.6335 0.6205 0.1124
La 0.7581 0.2419 0.2419
La 0.2419 0.7581 0.7581
La 0.0000 0.5000 0.5000

=====

7.
! Nd2Zn2SbPd5 PBE-GGA optimized geometry; values from VASP
! symmetry: P4/mbm, No. 127
! formation energy (no corrections): -642 kJ/mol of formula units
! theoretical density: 9.35 g cm⁻³
! DFT total energy: -4.882 eV per atom
&SYSTEM
  ibrav = 0, nat = 20, ntyp = 4
/
ATOMIC_SPECIES
Nd 144.24 Nd.upf
Zn 65.41 Zn.upf
Sb 121.76 Sb.upf
Pd 106.42 Pd.upf
CELL_PARAMETERS angstrom
-2.5167 -0.9586 2.8556
6.9872 -5.4330 4.3341
2.8941 7.8621 5.1897
ATOMIC_POSITIONS crystal
Nd 0.0000 0.6811 0.1811
Nd 0.0000 0.3189 0.8189
Nd 0.0000 0.1811 0.3189
Nd 0.0000 0.8189 0.6811
Zn 0.0000 0.1146 0.6146
Zn 0.0000 0.8854 0.3854
Zn 0.0000 0.6146 0.8854
Zn 0.0000 0.3854 0.1146
Sb 0.0000 0.0000 0.0000
Sb 0.0000 0.5000 0.5000
Pd 0.5000 0.2123 0.0661
Pd 0.5000 0.7877 0.9339
Pd 0.5000 0.0661 0.7877
Pd 0.5000 0.7123 0.4339
Pd 0.5000 0.9339 0.2123
Pd 0.5000 0.2877 0.5661
Pd 0.5000 0.5661 0.7123
Pd 0.5000 0.4339 0.2877
Pd 0.5000 0.5000 0.0000
Pd 0.5000 0.0000 0.5000

=====

8.
! CsTa2Te PBE-GGA optimized geometry; values from VASP
! symmetry: I-42d, No. 122
! formation energy (no corrections): 632 kJ/mol of formula units
! theoretical density: 9.07 g cm⁻³
! DFT total energy: -5.288 eV per atom
&SYSTEM
  ibrav = 0, nat = 8, ntyp = 3
/
ATOMIC_SPECIES
Cs 132.91 Cs.upf
Te 127.60 Te.upf
Ta 180.95 Ta.upf
CELL_PARAMETERS angstrom
-2.2681 6.9277 4.3559
-7.7190 -3.3120 1.2482
-3.9822 0.4581 5.4752
ATOMIC_POSITIONS crystal
Cs 0.0000 0.0000 0.0000
Cs 0.7500 0.2500 0.5000
Te 0.5000 0.5000 0.0000
Te 0.2500 0.7500 0.5000
Ta 0.5591 0.1250 0.2500
Ta 0.1909 0.6250 0.2500
Ta 0.3750 0.4409 0.7500
Ta 0.8750 0.8091 0.7500